First-principles (GGA-PBE) data for Pa4Se3N4 after structural relaxation, as listed in Alexandria via LeMat-Bulk.

Summary:
- DFT total energy (eV per cell) = -97.18
- SG = Immm (71)
- spin magnetization (μB/f.u.) = 0.000

a b c (Å): 3.636 7.946 7.945
angles (deg): 120.00 103.23 90.00
Sites, in units of the cell vectors:
1 Pa 0.791 0.291 0.583
2 Pa 0.500 0.234 0.000
3 Pa 0.209 0.709 0.417
4 Pa 0.500 0.766 0.000
5 N 0.660 0.489 0.319
6 N 0.340 0.170 0.681
7 N 0.340 0.511 0.681
8 N 0.660 0.830 0.319
9 Se 0.000 0.500 0.000
10 Se 0.113 0.113 0.227
11 Se 0.887 0.887 0.773

---

First-principles (GGA-PBE) data for Pa2Se2N after structural relaxation, as listed in Alexandria via LeMat-Bulk.

Summary:
- DFT total energy (eV per cell) = -83.31
- SG = Ibam (72)
- spin magnetization (μB/f.u.) = 1.882
- ΔE to the lowest computed polymorph (meV per atom) = 44

a b c (Å): 5.681 6.736 7.164
angles (deg): 118.04 113.36 90.00
Site moments in Bohr magnetons follow the coordinates.
Sites, in units of the cell vectors:
1 N 0.250 0.500 0.000  -0.04
2 N 0.750 0.500 0.000  -0.04
3 Pa 0.099 0.809 0.198  0.83
4 Pa 0.901 0.191 0.802  0.83
5 Pa 0.599 0.389 0.198  0.83
6 Pa 0.401 0.611 0.802  0.83
7 Se 0.354 0.006 0.707  -0.02
8 Se 0.146 0.299 0.293  -0.02
9 Se 0.854 0.701 0.707  -0.02
10 Se 0.646 0.994 0.293  -0.02

---

First-principles (GGA-PBE) data for Pa3SeN4 after structural relaxation, as listed in Alexandria via LeMat-Bulk.

Summary:
- DFT total energy (eV per cell) = -79.45
- SG = P4/mmm (123)
- spin magnetization (μB/f.u.) = 1.014

a b c (Å): 3.875 3.875 8.806
angles (deg): 90.00 90.00 90.00
Site moments in Bohr magnetons follow the coordinates.
Sites, in units of the cell vectors:
1 N 0.000 0.500 0.840  -0.01
2 N 0.000 0.500 0.160  -0.01
3 N 0.500 0.000 0.160  -0.01
4 N 0.500 0.000 0.840  -0.01
5 Pa 0.500 0.500 0.718  0.40
6 Pa 0.000 0.000 0.000  0.10
7 Pa 0.500 0.500 0.282  0.40
8 Se 0.000 0.000 0.500  -0.02